Record 1
ZnBiPdCl2 meta-GGA SCAN single point on PBEsol structure; energy = -28.128 eV/atom; raw formation energy = 0.183 eV/f.u.
1.0
4.6654 0.0000 0.0000
0.0000 4.6654 0.0000
0.0000 0.0000 5.1840
Zn Bi Pd Cl
1 1 1 2
Cartesian
0.0000 0.0000 0.0000
2.3327 2.3327 0.0000
0.0000 0.0000 2.5920
0.0000 2.3327 2.5920
2.3327 0.0000 2.5920

=====

Record 2
Ac2CuSi meta-GGA SCAN single point on PBEsol structure; energy = -51.795 eV/atom; raw formation energy = -1.015 eV/f.u.
1.0
7.5231 0.0000 0.0000
0.0000 7.5231 0.0000
0.0000 0.0000 7.5231
Ac Cu Si
8 4 4
Cartesian
1.8808 1.8808 1.8808
1.8808 1.8808 5.6423
1.8808 5.6423 1.8808
1.8808 5.6423 5.6423
5.6423 1.8808 1.8808
5.6423 1.8808 5.6423
5.6423 5.6423 1.8808
5.6423 5.6423 5.6423
0.0000 0.0000 0.0000
0.0000 3.7615 3.7615
3.7615 0.0000 3.7615
3.7615 3.7615 0.0000
0.0000 0.0000 3.7615
0.0000 3.7615 0.0000
3.7615 0.0000 0.0000
3.7615 3.7615 3.7615

=====

Record 3
NaNbTc3 meta-GGA SCAN single point on PBEsol structure; energy = -26.817 eV/atom; calculated formation energy = 1.69 eV/atom
1.0
4.7382 0.0000 0.0000
0.0000 4.7382 0.0000
0.0000 0.0000 4.7382
Na Nb Tc
1 1 3
Cartesian
0.0000 0.0000 0.0000
2.3691 2.3691 2.3691
0.0000 2.3691 2.3691
2.3691 0.0000 2.3691
2.3691 2.3691 0.0000